# 1
BaAcTbMg: optimized geometry, GGA-PBE.

```
BaAcTbMg
1.0
-1.571 -5.041 -2.916
4.220 -3.369 -2.689
1.466 -5.387 2.284
Mg Ac Tb Ba
1 1 1 1
direct
0.000 0.000 0.000
0.500 0.500 0.500
0.250 0.250 0.250
0.750 0.750 0.750
```

Results
* uncorrected energy: -2.8605 eV/atom
* ΔE_f: 4.69 kcal/mol of atoms
* density: 5.86 g/cm³

=====

# 2
LiPm4Pt2: optimized geometry, GGA-PBE.

```
LiPm4Pt2
1.0
6.982 -0.460 -0.140
-0.960 7.065 0.145
-2.861 -3.435 7.690
Pm Pt Li
8 4 2
direct
0.876 0.656 0.693
0.744 0.149 0.708
0.286 0.192 0.793
0.837 0.602 0.105
0.443 0.471 0.265
0.982 0.247 0.395
0.433 0.713 0.806
0.428 0.956 0.235
0.153 0.529 0.955
0.816 0.858 0.437
0.630 0.171 0.063
0.447 0.323 0.545
0.198 0.804 0.472
0.976 0.079 0.028
```

Results
* uncorrected energy: -5.3814 eV/atom
* ΔE_f: -15.39 kcal/mol of atoms
* density: 8.62 g/cm³

=====

# 3
DyYSeS: optimized geometry, GGA-PBE.

```
DyYSeS
1.0
3.910 -0.001 -0.001
-1.955 3.387 0.000
-1.955 -1.129 6.885
Y S Se Dy
1 1 1 1
direct
0.487 0.142 0.644
0.307 0.551 0.874
0.966 0.381 0.363
0.117 0.957 0.089
```

Results
* uncorrected energy: -6.5673 eV/atom
* density: 6.60 g/cm³
* uncorrected formation energy: -1898 meV per atom

=====

What is the formula in the second record? LiPm4Pt2

=====

Which of these has the lowest uncorrected energy? DyYSeS